Entry 1:
Material: BeAlRu2
Method: DFT, GGA-PBE
State: relaxed

Computed properties:
The magnetic moment is 0.000 μB/f.u.

Unit cell a=2.7268 b=2.7268 c=7.5104 alpha=90.00 beta=90.00 gamma=113.83
Positions (direct):
Be 0.5000 0.5000 0.7500
Ru 0.0000 0.0000 0.9817
Ru 0.0000 0.0000 0.5183
Al 0.5000 0.5000 0.2500

---

Entry 2:
Material: BeAlRu
Method: DFT, GGA-PBE
State: relaxed

Computed properties:
Its offset from the most stable computed form is 0.1273 eV/atom. The magnetic moment is 0.000 μB/f.u.

Unit cell a=3.8798 b=3.8798 c=2.8346 alpha=90.00 beta=90.00 gamma=120.00
Positions (direct):
Ru 0.3333 0.6667 0.5951
Al 0.0000 0.0000 0.0714
Be 0.6667 0.3333 0.3335

---

Entry 3:
Material: BeAlRu2
Method: DFT, GGA-PBE
State: relaxed

Computed properties:
The magnetic moment is 0.000 μB/f.u.

Unit cell a=4.5906 b=4.5906 c=4.5906 alpha=132.60 beta=132.60 gamma=69.29
Positions (direct):
Ru 0.2500 0.7500 0.5000
Ru 0.0000 0.0000 0.0000
Al 0.5000 0.5000 0.0000
Be 0.7500 0.2500 0.5000

---

Entry 4:
Material: Be3AlRu
Method: DFT, GGA-PBE
State: relaxed

Computed properties:
Its offset from the most stable computed form is 0.7159 eV/atom. The magnetic moment is 0.494 μB/f.u.

Unit cell a=4.0729 b=4.0729 c=4.0729 alpha=90.00 beta=90.00 gamma=90.00
Each line ends with the local moment (μB).
Positions (direct):
Al 0.0000 0.0000 0.0000  0.02
Be 0.0000 0.0000 0.5000  0.01
Be 0.0000 0.5000 0.0000  0.00
Be 0.5000 0.0000 0.0000  0.00
Ru 0.5000 0.5000 0.5000  0.42

---

Entry 5:
Material: Be4AlRu
Method: DFT, GGA-PBE
State: relaxed

Computed properties:
The magnetic moment is 0.000 μB/f.u.

Unit cell a=4.3358 b=4.3358 c=4.3358 alpha=60.00 beta=60.00 gamma=60.00
Positions (direct):
Be 0.1290 0.6237 0.6237
Be 0.6237 0.6237 0.1290
Be 0.6237 0.1290 0.6237
Be 0.6237 0.6237 0.6237
Ru 0.2500 0.2500 0.2500
Al 0.0000 0.0000 0.0000

---

Entry 6:
Material: BeAlRu2
Method: DFT, GGA-PBE
State: relaxed

Computed properties:
The magnetic moment is 0.001 μB/f.u.

Unit cell a=3.9509 b=2.8672 c=4.6609 alpha=71.99 beta=90.00 gamma=90.00
Positions (direct):
Ru 0.5000 0.2756 0.3261
Ru 0.0000 0.9778 0.9158
Al 0.0000 0.7062 0.4626
Be 0.5000 0.5404 0.7954

---

Entry 7:
Material: Be2AlRu
Method: DFT, GGA-PBE
State: relaxed

Computed properties:
The magnetic moment is 0.375 μB/f.u.

Unit cell a=4.4631 b=4.6976 c=2.6631 alpha=76.53 beta=83.90 gamma=116.42
Each line ends with the local moment (μB).
Positions (direct):
Al 0.5000 0.5000 0.0000  0.00
Ru 0.0000 0.5000 0.5000  0.36
Be 0.5000 0.0000 0.5000  0.00
Be 0.0000 0.0000 0.0000  0.00

---

Entry 8:
Material: Be2AlRu
Method: DFT, GGA-PBE
State: relaxed

Computed properties:
The magnetic moment is 0.000 μB/f.u.

Unit cell a=4.5506 b=4.5506 c=4.5506 alpha=140.41 beta=130.46 gamma=65.19
Positions (direct):
Be 0.5071 0.5071 0.0000
Be 0.9929 0.9929 0.0000
Ru 0.7500 0.2500 0.5000
Al 0.2500 0.7500 0.5000

---

Entry 9:
Material: Be2AlRu
Method: DFT, GGA-PBE
State: relaxed

Computed properties:
The magnetic moment is 0.000 μB/f.u.

Unit cell a=3.7552 b=3.7567 c=3.1412 alpha=90.00 beta=90.00 gamma=90.00
Positions (direct):
Be 0.0000 0.0000 0.0000
Be 0.5000 0.5000 0.0000
Al 0.0000 0.5000 0.5000
Ru 0.5000 0.0000 0.5000

---

Entry 10:
Material: BeAlRu2
Method: DFT, GGA-PBE
State: relaxed

Computed properties:
The magnetic moment is 0.888 μB/f.u.

Unit cell a=6.4217 b=6.4217 c=5.2242 alpha=52.08 beta=52.08 gamma=90.00
Each line ends with the local moment (μB).
Positions (direct):
Be 0.2500 0.7500 0.5000  -0.01
Be 0.5000 0.5000 0.0000  -0.01
Ru 0.3750 0.4234 0.7500  0.45
Ru 0.5766 0.1250 0.2500  0.44
Ru 0.1734 0.6250 0.2500  0.45
Ru 0.8750 0.8266 0.7500  0.46
Al 0.0000 0.0000 0.0000  -0.01
Al 0.7500 0.2500 0.5000  -0.01

---

Entry 11:
Material: BeAlRu2
Method: DFT, GGA-PBE
State: relaxed

Computed properties:
The magnetic moment is 0.000 μB/f.u.

Unit cell a=4.6848 b=4.6848 c=4.6848 alpha=143.17 beta=123.20 gamma=69.63
Positions (direct):
Ru 0.0291 0.0291 0.0000
Ru 0.4709 0.4709 0.0000
Al 0.7500 0.2500 0.5000
Be 0.2500 0.7500 0.5000

---

Entry 12:
Material: Be2AlRu
Method: DFT, GGA-PBE
State: relaxed

Computed properties:
The magnetic moment is 0.000 μB/f.u.

Unit cell a=4.0139 b=4.0139 c=4.0139 alpha=60.00 beta=60.00 gamma=60.00
Positions (direct):
Al 0.5000 0.5000 0.5000
Be 0.0000 0.0000 0.0000
Be 0.2500 0.2500 0.2500
Ru 0.7500 0.7500 0.7500

---

Number 1: E -6.68 eV per atom. Number 2: E -5.92 eV per atom. Number 3: E -6.65 eV per atom. Number 4: E -3.54 eV per atom. Number 5: E -5.06 eV per atom. Number 6: E -6.78 eV per atom. Number 7: E -5.16 eV per atom. Number 8: E -5.49 eV per atom. Number 9: E -5.42 eV per atom. Number 10: E -6.39 eV per atom. Number 11: E -6.75 eV per atom. Number 12: E -5.29 eV per atom.